# 1
Crystalline NaNbGeRu2 at its relaxed geometry, computed with PBE.

Cell: 4.549 4.559 4.549 Å, 90.00 90.00 90.00°
Fractional positions:
Ru 0.500 0.000 0.000
Nb 0.500 0.500 0.500
Ru 0.000 0.000 0.500
Ge 0.000 0.000 0.000
Na 0.000 0.500 0.000



# 2
Crystalline B2C at its relaxed geometry, computed with PBE.

Cell: 2.680 4.954 6.860 Å, 105.40 90.00 90.00°
Fractional positions:
B 0.500 0.233 0.953
C 0.500 0.858 0.581
B 0.000 0.323 0.362
B 0.000 0.692 0.622
B 0.000 0.803 0.237
B 0.500 0.563 0.965
C 0.000 0.354 0.587
C 0.500 0.786 0.350
B 0.500 0.215 0.662
B 0.500 0.417 0.221
C 0.000 0.732 0.991
B 0.000 0.023 0.968



Number 1: DFT formation energy 1077 meV/atom, energy above the most stable polymorph in this dataset 0 meV per atom, energy -29.2 eV/cell. Number 2: DFT formation energy 389 meV/atom, energy above the most stable polymorph in this dataset 204 meV per atom, energy -85.6 eV/cell.